Entry from Alexandria: a geometry-optimized AgHg2N2 structure (PBE).

Summary:
- symmetry = P-1
- spin magnetization (μB per atom) = 0.0000
- V (Å³/atom) = 25.76
- formation energy without anion corrections (eV per atom) = 0.144

a = 3.0662 Å, b = 3.0661 Å, c = 14.6861 Å
α = 76.03°, β = 77.49°, γ = 96.50°
Closest atoms and distances in Å follow each position.
Fractional coordinates of all 5 atoms:
Ag: 0.0000 0.0000 0.0000  4 Ag 3.07, 8 Hg 3.10-3.30
Hg: 0.2884 0.2916 0.1689  4 Hg 3.07, 4 Ag 3.10-3.30
Hg: 0.7116 0.7084 0.8311  4 Hg 3.07, 4 Ag 3.10-3.30
N: 0.4527 0.4486 0.5404  1 N 1.11
N: 0.5473 0.5514 0.4596  1 N 1.11



Entry from Alexandria: a geometry-optimized AgHg3N structure (PBE).

Summary:
- energy above the most stable polymorph in this dataset (meV per atom) = 0
- symmetry = Pm-3m
- spin magnetization (μB per atom) = 0.0000
- V (Å³/atom) = 21.87
- formation energy without anion corrections (eV per atom) = 0.867

a = 4.7820 Å, b = 4.7820 Å, c = 4.7820 Å
α = 90.00°, β = 90.00°, γ = 90.00°
Closest atoms and distances in Å follow each position.
Fractional coordinates of all 5 atoms:
Hg: 0.0000 0.5000 0.0000  2 N 2.39
Hg: 0.0000 0.0000 0.5000  2 N 2.39
Hg: 0.5000 0.0000 0.0000  2 N 2.39
Ag: 0.5000 0.5000 0.5000  12 Hg 3.38
N: 0.0000 0.0000 0.0000  6 Hg 2.39



Entry from Alexandria: a geometry-optimized AgHg2N4 structure (PBE).

Summary:
- symmetry = I4/mmm
- spin magnetization (μB per atom) = 0.7799
- V (Å³/atom) = 15.66
- formation energy without anion corrections (eV per atom) = 2.189

a = 4.2532 Å, b = 4.2532 Å, c = 6.7648 Å
α = 71.68°, β = 71.68°, γ = 90.00°
Closest atoms and distances in Å follow each position.
Fractional coordinates of all 7 atoms:
Hg: 0.6305 0.6305 0.7389  1 N 2.12
Hg: 0.3695 0.3695 0.2611  1 N 2.12
Ag: 0.0000 0.0000 0.0000  6 N 2.13-2.36
N: 0.8056 0.8056 0.3887  1 Hg 2.12, 1 Ag 2.36
N: 0.1944 0.1944 0.6113  1 Hg 2.12, 1 Ag 2.36
N: 0.0000 0.5000 0.0000  2 Ag 2.13
N: 0.5000 0.0000 0.0000  2 Ag 2.13



Entry from Alexandria: a geometry-optimized Ag2HgN structure (PBE).

Summary:
- energy above the most stable polymorph in this dataset (meV per atom) = 343
- symmetry = Fm-3m
- spin magnetization (μB per atom) = 0.1716
- V (Å³/atom) = 16.86
- formation energy without anion corrections (eV per atom) = 1.120

a = 4.5685 Å, b = 4.5685 Å, c = 4.5685 Å
α = 60.00°, β = 60.00°, γ = 60.00°
Closest atoms and distances in Å follow each position.
Fractional coordinates of all 4 atoms:
Hg: 0.5000 0.5000 0.5000  8 Ag 2.80
Ag: 0.2500 0.2500 0.2500  4 Hg 2.80, 4 N 2.80
Ag: 0.7500 0.7500 0.7500  4 N 2.80, 4 Hg 2.80
N: 0.0000 0.0000 0.0000  8 Ag 2.80



Entry from Alexandria: a geometry-optimized AgHgN2 structure (PBE).

Summary:
- symmetry = P1
- spin magnetization (μB per atom) = 0.0000
- V (Å³/atom) = 29.13
- formation energy without anion corrections (eV per atom) = 0.175

a = 3.0544 Å, b = 4.8949 Å, c = 7.9164 Å
α = 96.82°, β = 82.52°, γ = 89.97°
Closest atoms and distances in Å follow each position.
Fractional coordinates of all 4 atoms:
Ag: 0.7627 0.1924 0.1838  4 Hg 2.88-2.89, 2 Ag 3.05
Hg: 0.2627 0.6926 0.1835  4 Ag 2.88-2.89, 2 Hg 3.05
N: 0.8509 0.1725 0.6416  1 N 1.11
N: 0.8228 0.3685 0.7299  1 N 1.11



Entry from Alexandria: a geometry-optimized Ag2HgN structure (PBE).

Summary:
- energy above the most stable polymorph in this dataset (meV per atom) = 0
- symmetry = I4_1/amd
- spin magnetization (μB per atom) = 0.0000
- V (Å³/atom) = 23.24
- formation energy without anion corrections (eV per atom) = 0.777

a = 5.5284 Å, b = 5.5284 Å, c = 7.2302 Å
α = 67.52°, β = 67.52°, γ = 90.00°
Closest atoms and distances in Å follow each position.
Fractional coordinates of all 8 atoms:
Hg: 0.0000 0.0000 0.0000  8 Ag 3.44-3.45
Hg: 0.7500 0.2500 0.5000  8 Ag 3.44-3.45
Ag: 0.3755 0.1250 0.2500  2 N 2.05
Ag: 0.3745 0.6250 0.2500  2 N 2.05
Ag: 0.3750 0.6245 0.7500  2 N 2.05
Ag: 0.8750 0.6255 0.7500  2 N 2.05
N: 0.5000 0.5000 0.0000  4 Ag 2.05
N: 0.2500 0.7500 0.5000  4 Ag 2.05



Entry from Alexandria: a geometry-optimized AgHgN2 structure (PBE).

Summary:
- symmetry = I-42d
- spin magnetization (μB per atom) = 0.0000
- V (Å³/atom) = 16.45
- formation energy without anion corrections (eV per atom) = 1.675

a = 5.0348 Å, b = 5.0348 Å, c = 6.2951 Å
α = 66.43°, β = 66.43°, γ = 90.00°
Closest atoms and distances in Å follow each position.
Fractional coordinates of all 8 atoms:
Hg: 0.0000 0.0000 0.0000  4 N 2.29
Hg: 0.7500 0.2500 0.5000  4 N 2.29
Ag: 0.5000 0.5000 0.0000  4 N 2.12
Ag: 0.2500 0.7500 0.5000  4 N 2.12
N: 0.5952 0.1250 0.2500  2 Ag 2.12, 2 Hg 2.29
N: 0.1548 0.6250 0.2500  2 Ag 2.12, 2 Hg 2.29
N: 0.3750 0.4048 0.7500  2 Ag 2.12, 2 Hg 2.29
N: 0.8750 0.8452 0.7500  2 Ag 2.12, 2 Hg 2.29



Entry from Alexandria: a geometry-optimized AgHgNO2 structure (PBE).

Summary:
- symmetry = P4/mmm
- spin magnetization (μB per atom) = 0.3658
- V (Å³/atom) = 14.23
- formation energy without anion corrections (eV per atom) = 1.100

a = 4.2156 Å, b = 4.2156 Å, c = 4.0029 Å
α = 90.00°, β = 90.00°, γ = 90.00°
Closest atoms and distances in Å follow each position.
Fractional coordinates of all 5 atoms:
Ag: 0.0000 0.0000 0.0000  2 N 2.00, 4 O 2.11
Hg: 0.5000 0.5000 0.5000  8 O 2.91, 4 N 2.98
O: 0.0000 0.5000 0.0000  2 Ag 2.11
O: 0.5000 0.0000 0.0000  2 Ag 2.11
N: 0.0000 0.0000 0.5000  2 Ag 2.00



Entry from Alexandria: a geometry-optimized AgHgNO2 structure (PBE).

Summary:
- symmetry = P4/mmm
- spin magnetization (μB per atom) = 0.4940
- V (Å³/atom) = 15.72
- formation energy without anion corrections (eV per atom) = 1.268

a = 4.3077 Å, b = 4.3077 Å, c = 4.2360 Å
α = 90.00°, β = 90.00°, γ = 90.00°
Closest atoms and distances in Å follow each position.
Fractional coordinates of all 5 atoms:
O: 0.0000 0.5000 0.0000  2 Hg 2.15
O: 0.5000 0.0000 0.0000  2 Hg 2.15
Hg: 0.0000 0.0000 0.0000  2 N 2.12, 4 O 2.15
Ag: 0.5000 0.5000 0.5000  8 O 3.02, 4 N 3.05
N: 0.0000 0.0000 0.5000  2 Hg 2.12



Entry from Alexandria: a geometry-optimized AgHgSN2 structure (PBE).

Summary:
- energy above the most stable polymorph in this dataset (meV per atom) = 0
- symmetry = P4/mmm
- spin magnetization (μB per atom) = 0.7875
- V (Å³/atom) = 19.50
- formation energy without anion corrections (eV per atom) = 1.739

a = 4.0710 Å, b = 4.0710 Å, c = 5.8836 Å
α = 90.00°, β = 90.00°, γ = 90.00°
Closest atoms and distances in Å follow each position.
Fractional coordinates of all 5 atoms:
S: 0.0000 0.0000 0.5000  4 Hg 2.88, 2 Ag 2.94
Hg: 0.5000 0.5000 0.5000  4 S 2.88
Ag: 0.0000 0.0000 0.0000  4 N 2.04
N: 0.0000 0.5000 0.0000  2 Ag 2.04
N: 0.5000 0.0000 0.0000  2 Ag 2.04



Entry from Alexandria: a geometry-optimized AgHgS2N structure (PBE).

Summary:
- energy above the most stable polymorph in this dataset (meV per atom) = 169
- symmetry = P4/mmm
- spin magnetization (μB per atom) = 0.5974
- V (Å³/atom) = 22.37
- formation energy without anion corrections (eV per atom) = 1.391

a = 5.1654 Å, b = 5.1654 Å, c = 4.1921 Å
α = 90.00°, β = 90.00°, γ = 90.00°
Closest atoms and distances in Å follow each position.
Fractional coordinates of all 5 atoms:
S: 0.0000 0.5000 0.0000  2 Hg 2.58
S: 0.5000 0.0000 0.0000  2 Hg 2.58
Hg: 0.0000 0.0000 0.0000  2 N 2.10
Ag: 0.5000 0.5000 0.5000  8 S 3.33, 4 N 3.65
N: 0.0000 0.0000 0.5000  2 Hg 2.10



Entry from Alexandria: a geometry-optimized AgHgS2N structure (PBE).

Summary:
- energy above the most stable polymorph in this dataset (meV per atom) = 0
- symmetry = P4/mmm
- spin magnetization (μB per atom) = 0.4082
- V (Å³/atom) = 20.39
- formation energy without anion corrections (eV per atom) = 1.222

a = 5.0236 Å, b = 5.0236 Å, c = 4.0404 Å
α = 90.00°, β = 90.00°, γ = 90.00°
Closest atoms and distances in Å follow each position.
Fractional coordinates of all 5 atoms:
S: 0.0000 0.5000 0.0000  2 Ag 2.51
S: 0.5000 0.0000 0.0000  2 Ag 2.51
Hg: 0.5000 0.5000 0.5000  8 S 3.22, 4 N 3.55
Ag: 0.0000 0.0000 0.0000  2 N 2.02
N: 0.0000 0.0000 0.5000  2 Ag 2.02



Entry from Alexandria: a geometry-optimized AgHgSN2 structure (PBE).

Summary:
- energy above the most stable polymorph in this dataset (meV per atom) = 193
- symmetry = P4/mmm
- spin magnetization (μB per atom) = 0.7458
- V (Å³/atom) = 19.75
- formation energy without anion corrections (eV per atom) = 1.932

a = 4.2446 Å, b = 4.2446 Å, c = 5.4808 Å
α = 90.00°, β = 90.00°, γ = 90.00°
Closest atoms and distances in Å follow each position.
Fractional coordinates of all 5 atoms:
S: 0.0000 0.0000 0.5000  2 Hg 2.74, 4 Ag 3.00
Hg: 0.0000 0.0000 0.0000  4 N 2.12
Ag: 0.5000 0.5000 0.5000  4 S 3.00
N: 0.0000 0.5000 0.0000  2 Hg 2.12
N: 0.5000 0.0000 0.0000  2 Hg 2.12